A relaxed CdPbSO crystal. Source: the Open Quantum Materials Database, functional PBE-GGA.

CIF file:
```
data_CdPbSO
_chemical_formula_sum 'Cd8 Pb8 S8 O8'
_cell_length_a 10.065
_cell_length_b 18.689
_cell_length_c 3.847
_cell_angle_alpha 90.00
_cell_angle_beta 90.00
_cell_angle_gamma 90.00
_symmetry_space_group_name_H-M 'P b a m'
_symmetry_Int_Tables_number 55
loop_
_symmetry_equiv_pos_as_xyz
'x,y,z'
'-x,-y,-z'
'-x,-y,z'
'x,y,-z'
'x+1/2,-y+1/2,-z'
'-x+1/2,y+1/2,z'
'-x+1/2,y+1/2,-z'
'x+1/2,-y+1/2,z'
loop_
_atom_site_label
_atom_site_fract_x
_atom_site_fract_y
_atom_site_fract_z
Cd1 0.084 0.114 0.000
Cd2 0.085 0.576 0.000
Pb1 0.023 0.731 0.500
Pb2 0.246 0.893 0.500
S1 0.213 0.995 0.000
S2 0.217 0.714 0.000
O1 0.008 0.403 0.500
O2 0.012 0.864 0.500
```

A relaxed CdPbSO crystal. Source: the Open Quantum Materials Database, functional PBE-GGA.

CIF file:
```
data_CdPbSO
_chemical_formula_sum 'Cd2 Pb2 S2 O2'
_cell_length_a 4.246
_cell_length_b 4.246
_cell_length_c 10.122
_cell_angle_alpha 90.00
_cell_angle_beta 90.00
_cell_angle_gamma 90.00
_symmetry_space_group_name_H-M 'P 4/n m m'
_symmetry_Int_Tables_number 129
loop_
_symmetry_equiv_pos_as_xyz
'x,y,z'
'-x,-y,-z'
'-y+1/2,x,z'
'y+1/2,-x,-z'
'-x+1/2,-y+1/2,z'
'x+1/2,y+1/2,-z'
'y,-x+1/2,z'
'-y,x+1/2,-z'
'x+1/2,-y,-z'
'-x+1/2,y,z'
'-y,-x,-z'
'y,x,z'
'-x,y+1/2,-z'
'x,-y+1/2,z'
'y+1/2,x+1/2,-z'
'-y+1/2,-x+1/2,z'
loop_
_atom_site_label
_atom_site_fract_x
_atom_site_fract_y
_atom_site_fract_z
Cd1 0.250 0.750 0.000
Pb1 0.250 0.250 0.391
S1 0.250 0.250 0.852
O1 0.250 0.750 0.500
```

A relaxed CdPbSO crystal. Source: the Open Quantum Materials Database, functional PBE-GGA.

CIF file:
```
data_CdPbSO
_chemical_formula_sum 'Cd4 Pb4 S4 O4'
_cell_length_a 3.468
_cell_length_b 14.815
_cell_length_c 5.972
_cell_angle_alpha 90.00
_cell_angle_beta 90.00
_cell_angle_gamma 90.00
_symmetry_space_group_name_H-M 'C m c m'
_symmetry_Int_Tables_number 63
_symmetry_space_group_name_Hall '-C 2c 2'
loop_
_atom_site_label
_atom_site_fract_x
_atom_site_fract_y
_atom_site_fract_z
Cd1 0.000 0.053 0.250
Pb1 0.000 0.344 0.250
S1 0.000 0.305 0.750
O1 0.000 0.500 0.000
```

Calculated energy relative to the lowest polymorph listed for this composition (eV per atom), listed in the same order as above: 0.132; 0.085; 0.281